(1)
The following is a DFT calculation (GGA-PBE) of a relaxed structure of Ac2BeBPt6.

SG	P-1 (2)
formation energy from the elements	-83.0	kJ per mole of atoms

a = 5.8647 Å, b = 7.1116 Å, c = 7.0890 Å
α = 48.96°, β = 65.66°, γ = 90.05°
Closest atoms and distances in Å follow each position.
Atoms (fractional coordinates):
Pt (0.7597, 0.7115, 0.4814)  1 B 2.16
Pt (0.7605, 0.2414, 0.9517)  1 B 2.16
Pt (0.2395, 0.7586, 0.0483)  1 B 2.16
Pt (0.2898, 0.2417, 0.9502)  1 B 2.16
Pt (0.7102, 0.7583, 0.0498)  1 B 2.16
Pt (0.2403, 0.2885, 0.5186)  1 B 2.16
Ac (0.2177, 0.7836, 0.5650)  9 Pt 3.09-3.38
Ac (0.7823, 0.2164, 0.4350)  9 Pt 3.09-3.38
B (0.0000, 0.0000, 0.0000)  6 Pt 2.16
Be (0.5000, 0.5000, 0.0000)  6 Pt 2.49-2.50

(2)
The following is a DFT calculation (GGA-PBE) of a relaxed structure of AcMgAg2Sn2.

SG	P-3m1 (164)
formation energy from the elements	-39.3	kJ per mole of atoms

a = 4.7395 Å, b = 4.7395 Å, c = 7.7648 Å
α = 90.00°, β = 90.00°, γ = 120.00°
Closest atoms and distances in Å follow each position.
Atoms (fractional coordinates):
Mg (0.0000, 0.0000, 0.5000)  6 Ag 2.99, 6 Sn 3.31
Sn (0.3333, 0.6667, 0.2596)  4 Ag 2.81-3.08
Sn (0.6667, 0.3333, 0.7404)  4 Ag 2.81-3.08
Ag (0.3333, 0.6667, 0.6566)  4 Sn 2.81-3.08, 3 Mg 2.99
Ag (0.6667, 0.3333, 0.3434)  4 Sn 2.81-3.08, 3 Mg 2.99
Ac (0.0000, 0.0000, 0.0000)  6 Sn 3.40

(3)
The following is a DFT calculation (GGA-PBE) of a relaxed structure of CdAgIr2.

SG	Pmmm (47)
formation energy from the elements	31.0	kJ per mole of atoms

a = 2.8554 Å, b = 4.7521 Å, c = 4.8613 Å
α = 90.00°, β = 90.00°, γ = 90.00°
Closest atoms and distances in Å follow each position.
Atoms (fractional coordinates):
Ir (0.5000, 0.5000, 0.0000)  6 Ir 2.77-2.86, 4 Cd 2.82
Ir (0.0000, 0.0000, 0.0000)  6 Ir 2.77-2.86, 4 Ag 2.82
Ag (0.5000, 0.0000, 0.5000)  4 Cd 2.77, 4 Ir 2.82, 2 Ag 2.86
Cd (0.0000, 0.5000, 0.5000)  4 Ag 2.77, 4 Ir 2.82, 2 Cd 2.86

(4)
The following is a DFT calculation (GGA-PBE) of a relaxed structure of Ce3Th2Pb4.

SG	C2/m (12)
formation energy from the elements	-23.2	kJ per mole of atoms

a = 5.0349 Å, b = 7.0596 Å, c = 8.6645 Å
α = 103.27°, β = 106.89°, γ = 90.00°
Closest atoms and distances in Å follow each position.
Atoms (fractional coordinates):
Th (0.3334, 0.9423, 0.6668)  5 Pb 3.25-3.37
Th (0.6666, 0.0577, 0.3332)  5 Pb 3.25-3.37
Pb (0.7500, 0.6739, 0.5000)  3 Th 3.25-3.32, 3 Ce 3.29-3.37, 2 Pb 3.52
Pb (0.2500, 0.3261, 0.5000)  3 Th 3.25-3.32, 3 Ce 3.29-3.37, 2 Pb 3.52
Pb (0.4882, 0.7086, 0.9764)  1 Pb 3.06, 2 Ce 3.23, 2 Th 3.37
Pb (0.5118, 0.2914, 0.0236)  1 Pb 3.06, 2 Ce 3.23, 2 Th 3.37
Ce (0.0000, 0.0000, 0.0000)  4 Pb 3.23
Ce (0.1110, 0.5892, 0.2221)  7 Pb 3.29-3.47, 1 Ce 3.59
Ce (0.8890, 0.4108, 0.7779)  7 Pb 3.29-3.47, 1 Ce 3.59

(5)
The following is a DFT calculation (GGA-PBE) of a relaxed structure of SbTe.

SG	P1 (1)
formation energy from raw total energies	-0.03	eV per atom
E above lowest polymorph	74	meV/atom

a = 4.2223 Å, b = 4.3476 Å, c = 8.3339 Å
α = 105.05°, β = 104.59°, γ = 90.00°
Closest atoms and distances in Å follow each position.
Atoms (fractional coordinates):
Te (0.8910, 0.5505, 0.8020)  2 Sb 2.92
Te (0.1650, 0.8252, 0.3553)  2 Sb 2.92
Sb (0.6226, 0.2210, 0.2699)  2 Te 2.92, 1 Sb 2.97
Sb (0.4334, 0.0313, 0.8875)  2 Te 2.92, 1 Sb 2.97

(6)
The following is a DFT calculation (GGA-PBE) of a relaxed structure of La2ZnPb.

SG	F-43m (216)
formation energy from the elements	2.0	kJ per mole of atoms

a = 5.4718 Å, b = 5.4718 Å, c = 5.4718 Å
α = 60.00°, β = 60.00°, γ = 60.00°
Closest atoms and distances in Å follow each position.
Atoms (fractional coordinates):
Pb (0.5000, 0.5000, 0.5000)  4 Zn 3.35, 4 La 3.35
Zn (0.7500, 0.7500, 0.7500)  4 La 3.35, 4 Pb 3.35
La (0.2500, 0.2500, 0.2500)  4 Pb 3.35, 4 La 3.35
La (0.0000, 0.0000, 0.0000)  4 La 3.35, 4 Zn 3.35

(7)
The following is a DFT calculation (GGA-PBE) of a relaxed structure of Zn2AgOsF.

SG	P4/mmm (123)
formation energy from raw total energies	0.49	eV per atom

a = 4.3242 Å, b = 4.2170 Å, c = 4.3242 Å
α = 90.00°, β = 90.00°, γ = 90.00°
Closest atoms and distances in Å follow each position.
Atoms (fractional coordinates):
F (0.0000, 0.0000, 0.0000)  2 Os 2.11, 4 Zn 2.16
Zn (0.5000, 0.0000, 0.0000)  2 F 2.16
Zn (0.0000, 0.0000, 0.5000)  2 F 2.16
Os (0.0000, 0.5000, 0.0000)  2 F 2.11
Ag (0.5000, 0.5000, 0.5000)  8 Zn 3.02, 4 Os 3.06

It is found that the calculated total energy values, taken in the order of the records, are -6.35, -3.64, -5.05, -5.52, -3.66, -3.69, -3.21 eV per atom.
It is found that the size of the total moment values, taken in the order of the records, are 0.00, 0.00, 0.00, 0.35, 0.00, 0.00, 0.17 μB/atom.